ErGa5Ni7: optimized geometry, PBE.

Cell and atoms, written as POSCAR:
```
ErGa5Ni7
1.0
-2.5354 4.2636 4.0723
2.5354 -4.2636 4.0723
2.5354 4.2636 -4.0723
Er Ga Ni
1 5 7
Direct
0.0000 0.0000 0.0000
0.0041 0.4948 0.0152
0.0041 0.9890 0.5094
0.4796 0.4948 0.4906
0.4796 0.9890 0.9848
0.7791 0.2791 0.5000
0.2116 0.4886 0.7231
0.2124 0.7124 0.5000
0.3496 0.3496 0.0000
0.3503 0.9979 0.3524
0.6455 0.9979 0.6476
0.6516 0.6516 0.0000
0.7655 0.4886 0.2769
```

## Properties
Space-group type   No. 44
Volume   176.1 Å³ per cell
Fermi-level density of states   7.93 states/eV per cell
Energy of formation from the pure elements   -31.87 kJ per mole of atoms